A relaxed structure of InAg2Br, computed with PBE-GGA.

Results
The theoretical density is 6.7 g cm⁻³. Its distance to the lowest polymorph of the same formula is 0.09 eV/f.u. For the total magnetic moment, the calculation gives 0.00 μB per cell. Its raw formation energy is -0.18 eV/f.u. The space group is No. 12. Its volume is 25.29 A^3/atom. Its final energy is -2.5736 eV/atom. As for the crystal system: monoclinic.

The structure in POSCAR format:
```
InAg2Br
1.0
5.1691 -0.0209 0.0757
3.9949 3.2803 0.0757
2.6187 0.9314 5.9805
In Ag Br
1 2 1
direct
0.2500 0.2500 0.2500
0.4878 0.4878 0.4324
0.0122 0.0122 0.0676
0.7500 0.7500 0.7500
```

A relaxed structure of In2AgBr, computed with PBE-GGA.

Results
The theoretical density is 6.7 g cm⁻³. Its distance to the lowest polymorph of the same formula is 0.15 eV/f.u. For the total magnetic moment, the calculation gives 0.00 μB per cell. Its raw formation energy is -0.51 eV/f.u. The space group is No. 65. Its volume is 25.82 A^3/atom. Its final energy is -2.6276 eV/atom. As for the crystal system: orthorhombic.

The structure in POSCAR format:
```
In2AgBr
1.0
-3.4463 1.5364 4.1368
3.5411 -2.2050 3.7349
1.5617 2.8922 0.2268
Br In Ag
1 2 1
direct
0.0000 0.5000 0.5000
0.0000 0.0000 0.0000
0.5000 0.5000 0.0000
0.5000 0.0000 0.5000
```

A relaxed structure of InAgBr, computed with PBE-GGA.

Results
The theoretical density is 6.0 g cm⁻³. Its distance to the lowest polymorph of the same formula is 0.10 eV/f.u. For the total magnetic moment, the calculation gives 0.00 μB per cell. Its raw formation energy is -0.67 eV/f.u. The space group is No. 38. Its volume is 28.11 A^3/atom. Its final energy is -2.6451 eV/atom. As for the crystal system: orthorhombic.

The structure in POSCAR format:
```
InAgBr
1.0
3.7739 0.0000 0.0000
0.0000 3.7024 0.0000
0.0000 0.0000 12.0688
In Ag Br
2 2 2
direct
0.5000 0.5000 0.7432
0.5000 0.0000 0.2432
0.0000 0.0000 0.6471
0.0000 0.5000 0.1471
0.5000 0.0000 0.4667
0.5000 0.5000 0.9667
```

A relaxed structure of KIn2AgBr4, computed with PBE-GGA.

Results
The theoretical density is 4.3 g cm⁻³. For the total magnetic moment, the calculation gives 0.00 μB per cell. Its raw formation energy is -6.44 eV/f.u. The space group is No. 15. Its volume is 33.85 A^3/atom. Its final energy is -2.8193 eV/atom. As for the crystal system: monoclinic.

The structure in POSCAR format:
```
KIn2AgBr4
1.0
9.0926 -0.0107 -0.0328
-0.0170 9.0926 -0.0328
-4.4979 -4.5010 6.5834
In K Br Ag
4 2 8 2
direct
0.5000 0.0000 0.0000
0.5000 0.0000 0.5000
0.5000 0.5000 0.0000
0.0000 0.0000 0.5000
0.0000 0.5000 0.5000
0.0000 0.5000 0.0000
0.7332 0.2724 0.5032
0.7311 0.7292 0.5048
0.7724 0.2332 0.0032
0.2292 0.2311 0.0048
0.2689 0.2708 0.4952
0.2668 0.7276 0.4968
0.7708 0.7689 0.9952
0.2276 0.7668 0.9968
0.5000 0.5000 0.5000
0.0000 0.0000 0.0000
```

A relaxed structure of LiInAgBr3, computed with PBE-GGA.

Results
The theoretical density is 4.4 g cm⁻³. For the total magnetic moment, the calculation gives 0.00 μB per cell. Its raw formation energy is -4.91 eV/f.u. The space group is No. 11. Its volume is 29.50 A^3/atom. Its final energy is -2.9046 eV/atom. As for the crystal system: monoclinic.

The structure in POSCAR format:
```
LiInAgBr3
1.0
4.2912 0.0000 0.0000
0.0000 8.7397 0.3330
0.0000 -3.0113 9.3253
Br Ag Li In
6 2 2 2
direct
0.7500 0.1982 0.5276
0.7500 0.4613 0.1690
0.2500 0.1069 0.8697
0.7500 0.8931 0.1303
0.2500 0.5387 0.8310
0.2500 0.8018 0.4724
0.2500 0.6704 0.1340
0.7500 0.3296 0.8660
0.2500 0.0996 0.6108
0.7500 0.9004 0.3892
0.2500 0.2138 0.2227
0.7500 0.7862 0.7773
```

A relaxed structure of LiInAgBr5, computed with PBE-GGA.

Results
The theoretical density is 3.7 g cm⁻³. For the total magnetic moment, the calculation gives 0.00 μB per cell. Its raw formation energy is -6.56 eV/f.u. The space group is No. 15. Its volume is 34.90 A^3/atom. Its final energy is -2.8039 eV/atom. As for the crystal system: monoclinic.

The structure in POSCAR format:
```
LiInAgBr5
1.0
7.8033 1.3904 0.1544
-0.9480 7.8693 0.1544
-2.7027 -3.6507 8.7802
Br In Ag Li
10 2 2 2
direct
0.3319 0.9181 0.6465
0.9094 0.0906 0.7500
0.6681 0.0819 0.3535
0.3349 0.3535 0.5606
0.9181 0.3319 0.1465
0.0819 0.6681 0.8535
0.3535 0.3349 0.0606
0.0906 0.9094 0.2500
0.6651 0.6465 0.4394
0.6465 0.6651 0.9394
0.6628 0.3372 0.2500
0.3372 0.6628 0.7500
0.6734 0.3266 0.7500
0.3266 0.6734 0.2500
0.0000 0.0000 0.0000
0.0000 0.0000 0.5000
```

A relaxed structure of LiInAg2Br6, computed with PBE-GGA.

Results
The theoretical density is 4.9 g cm⁻³. For the total magnetic moment, the calculation gives 0.00 μB per cell. Its raw formation energy is -7.29 eV/f.u. The space group is No. 146. Its volume is 27.81 A^3/atom. Its final energy is -2.7687 eV/atom. As for the crystal system: trigonal.

The structure in POSCAR format:
```
LiInAg2Br6
1.0
-2.8734 -5.8788 -2.7951
2.1415 -2.3220 -6.3774
4.2400 -6.2482 -0.2738
Br In Ag Li
6 1 2 1
direct
0.1029 0.4265 0.7570
0.2139 0.9452 0.2577
0.5833 0.2139 0.2576
0.7134 0.1030 0.7571
0.9453 0.5831 0.2576
0.4265 0.7135 0.7569
0.3250 0.3250 0.0250
0.0169 0.0167 0.9497
0.5305 0.5303 0.4087
0.8040 0.8043 0.5878
```

A relaxed structure of LiIn2AgBr4, computed with PBE-GGA.

Results
The theoretical density is 4.7 g cm⁻³. For the total magnetic moment, the calculation gives 0.00 μB per cell. Its raw formation energy is -5.97 eV/f.u. The space group is No. 15. Its volume is 29.48 A^3/atom. Its final energy is -2.8624 eV/atom. As for the crystal system: monoclinic.

The structure in POSCAR format:
```
LiIn2AgBr4
1.0
8.7350 -0.0212 -0.1201
-0.0273 8.7350 -0.1201
-4.3895 -4.3926 6.3021
In Li Br Ag
4 2 8 2
direct
0.5000 0.0000 0.5000
0.0000 0.0000 0.5000
0.5000 0.5000 0.0000
0.5000 0.0000 0.0000
0.5000 0.5000 0.5000
0.0000 0.0000 0.0000
0.7587 0.2929 0.5249
0.2071 0.7413 0.9751
0.7602 0.7378 0.5333
0.7622 0.7398 0.9667
0.7929 0.2587 0.0249
0.2413 0.7071 0.4751
0.2378 0.2602 0.0333
0.2398 0.2622 0.4667
0.0000 0.5000 0.0000
0.0000 0.5000 0.5000
```

A relaxed structure of MgInAgBr6, computed with PBE-GGA.

Results
The theoretical density is 4.6 g cm⁻³. For the total magnetic moment, the calculation gives 0.00 μB per cell. Its raw formation energy is -8.06 eV/f.u. The space group is No. 163. Its volume is 29.20 A^3/atom. Its final energy is -2.8092 eV/atom. As for the crystal system: trigonal.

The structure in POSCAR format:
```
MgInAgBr6
1.0
-5.8701 0.0301 -3.5601
0.6685 -4.0772 5.4829
-4.5276 9.4039 7.5450
Br Ag In Mg
12 2 2 2
direct
0.0031 0.6497 0.3701
0.3503 0.9969 0.1299
0.6466 0.9969 0.3701
0.3534 0.3503 0.8701
0.6497 0.0031 0.8701
0.6466 0.6497 0.1299
0.9969 0.3503 0.6299
0.0031 0.3534 0.1299
0.3534 0.0031 0.6299
0.6497 0.6466 0.6299
0.9969 0.6466 0.8701
0.3503 0.3534 0.3701
0.0000 0.0000 0.5000
0.0000 0.0000 0.0000
0.3333 0.6667 0.7500
0.6667 0.3333 0.2500
0.6667 0.3333 0.7500
0.3333 0.6667 0.2500
```

A relaxed structure of MgInAgBr4, computed with PBE-GGA.

Results
The theoretical density is 4.0 g cm⁻³. For the total magnetic moment, the calculation gives 0.00 μB per cell. Its raw formation energy is -6.09 eV/f.u. The space group is No. 11. Its volume is 33.77 A^3/atom. Its final energy is -2.8523 eV/atom. As for the crystal system: monoclinic.

The structure in POSCAR format:
```
MgInAgBr4
1.0
6.8506 0.0000 0.3613
0.0000 8.0807 0.0000
-2.2586 0.0000 8.4224
In Mg Br Ag
2 2 8 2
direct
0.1977 0.2500 0.0684
0.8023 0.7500 0.9316
0.7781 0.2500 0.6817
0.2219 0.7500 0.3183
0.9748 0.5124 0.2693
0.9748 0.9876 0.2693
0.4940 0.7500 0.5603
0.0252 0.0124 0.7307
0.6150 0.2500 0.9165
0.3850 0.7500 0.0835
0.5060 0.2500 0.4397
0.0252 0.4876 0.7307
0.2868 0.2500 0.6606
0.7132 0.7500 0.3394
```

A relaxed structure of InAg2BrN, computed with PBE-GGA.

Results
The theoretical density is 6.9 g cm⁻³. For the total magnetic moment, the calculation gives 0.00 μB per cell. Its raw formation energy is 1.55 eV/f.u. The space group is No. 123. Its volume is 20.29 A^3/atom. Its final energy is -3.3782 eV/atom. As for the crystal system: tetragonal.

The structure in POSCAR format:
```
InAg2BrN
1.0
4.6637 0.0000 0.0000
0.0000 4.6639 0.0000
0.0000 0.0000 4.6637
Ag In Br N
2 1 1 1
direct
0.0000 0.0000 0.5000
0.5000 0.0000 0.0000
0.0000 0.5000 0.0000
0.5000 0.5000 0.5000
0.0000 0.0000 0.0000
```

A relaxed structure of NaIn2AgBr8, computed with PBE-GGA.

Results
The theoretical density is 3.9 g cm⁻³. For the total magnetic moment, the calculation gives 0.00 μB per cell. Its raw formation energy is -9.42 eV/f.u. The space group is No. 119. Its volume is 35.44 A^3/atom. Its final energy is -2.7043 eV/atom. As for the crystal system: tetragonal.

The structure in POSCAR format:
```
NaIn2AgBr8
1.0
-0.9093 -2.0985 -7.9005
-2.7148 -5.5709 5.4077
-4.4496 6.8168 1.1750
In Br Ag Na
2 8 1 1
direct
0.7500 0.2500 0.5000
0.5000 0.5000 0.0000
0.7525 0.0589 0.6936
0.9411 0.6347 0.6936
0.8864 0.6872 0.1992
0.3653 0.0589 0.3064
0.3128 0.1136 0.8008
0.3128 0.5120 0.1992
0.9411 0.2475 0.3064
0.4880 0.6872 0.8008
0.2500 0.7500 0.5000
0.0000 0.0000 0.0000
```

A relaxed structure of Na2InAgBr4, computed with PBE-GGA.

Results
The theoretical density is 4.0 g cm⁻³. For the total magnetic moment, the calculation gives 0.00 μB per cell. Its raw formation energy is -8.02 eV/f.u. The space group is No. 63. Its volume is 30.68 A^3/atom. Its final energy is -2.8672 eV/atom. As for the crystal system: orthorhombic.

The structure in POSCAR format:
```
Na2InAgBr4
1.0
-2.8876 0.1365 -3.2426
-0.0621 -7.1606 2.6639
-11.0793 3.8265 10.0275
Br Na In Ag
8 4 2 2
direct
0.7379 0.4758 0.6116
0.7379 0.4758 0.8884
0.2621 0.5242 0.3884
0.2621 0.5242 0.1116
0.4597 0.9194 0.7500
0.5403 0.0806 0.2500
0.0000 0.0000 0.5000
0.0000 0.0000 0.0000
0.3774 0.7549 0.5529
0.6226 0.2451 0.0529
0.6226 0.2451 0.4471
0.3774 0.7549 0.9471
0.8647 0.7294 0.2500
0.1353 0.2706 0.7500
0.1500 0.3001 0.2500
0.8500 0.6999 0.7500
```

A relaxed structure of NdIn2AgBr6, computed with PBE-GGA.

Results
The theoretical density is 4.7 g cm⁻³. For the total magnetic moment, the calculation gives 0.00 μB per cell. Its raw formation energy is -10.69 eV/f.u. The space group is No. 14. Its volume is 34.22 A^3/atom. Its final energy is -3.3828 eV/atom. As for the crystal system: monoclinic.

The structure in POSCAR format:
```
NdIn2AgBr6
1.0
-3.3776 -2.8219 -6.2552
-5.5784 -3.6690 4.6673
-6.4947 8.8231 -0.8265
Br Ag Nd In
12 2 2 4
direct
0.8116 0.8095 0.5504
0.6162 0.0283 0.2465
0.3838 0.9717 0.7535
0.6871 0.3001 0.5568
0.8838 0.5283 0.2535
0.1871 0.1999 0.0568
0.3116 0.6905 0.0504
0.1884 0.1905 0.4496
0.1162 0.4717 0.7465
0.6884 0.3095 0.9496
0.3129 0.6999 0.4432
0.8129 0.8001 0.9432
0.5000 0.0000 0.0000
0.0000 0.5000 0.5000
0.0000 0.5000 0.0000
0.5000 0.0000 0.5000
0.4719 0.4135 0.2385
0.5281 0.5865 0.7615
0.0281 0.9135 0.2615
0.9719 0.0865 0.7385
```

A relaxed structure of NpInAgBr6, computed with PBE-GGA.

Results
The theoretical density is 4.7 g cm⁻³. For the total magnetic moment, the calculation gives 5.99 μB per cell. Its raw formation energy is -8.26 eV/f.u. The space group is No. 163. Its volume is 36.59 A^3/atom. Its final energy is -4.0916 eV/atom. As for the crystal system: trigonal.

The structure in POSCAR format:
```
NpInAgBr6
1.0
7.2630 0.0000 0.0000
-3.6315 6.2899 0.0000
0.0000 0.0000 14.4165
Ag Br In Np
2 12 2 2
direct
0.6667 0.3333 0.7500
0.3333 0.6667 0.2500
0.6357 0.6479 0.6367
0.3644 0.3521 0.3633
0.9877 0.6356 0.3633
0.0123 0.3644 0.6367
0.0123 0.6479 0.8633
0.9877 0.3521 0.1367
0.6479 0.6356 0.1367
0.3644 0.0123 0.1367
0.6479 0.0123 0.3633
0.3521 0.3644 0.8633
0.6357 0.9877 0.8633
0.3521 0.9877 0.6367
0.0000 0.0000 0.0000
0.0000 0.0000 0.5000
0.6667 0.3333 0.2500
0.3333 0.6667 0.7500
```

A relaxed structure of In2Ag2PbBr6, computed with PBE-GGA.

Results
The theoretical density is 4.7 g cm⁻³. For the total magnetic moment, the calculation gives 0.00 μB per cell. Its raw formation energy is -6.26 eV/f.u. The space group is No. 12. Its volume is 36.23 A^3/atom. Its final energy is -2.8353 eV/atom. As for the crystal system: monoclinic.

The structure in POSCAR format:
```
In2Ag2PbBr6
1.0
-0.3331 0.8121 -8.1109
5.4770 -5.2132 3.3561
-7.4659 -2.3866 0.0676
Ag Br In Pb
2 6 2 1
direct
0.0631 0.1263 0.2180
0.9369 0.8737 0.7820
0.7287 0.4573 0.5794
0.8270 0.1449 0.8298
0.1730 0.8551 0.1702
0.6821 0.8551 0.1702
0.3179 0.1449 0.8298
0.2713 0.5427 0.4206
0.7441 0.4881 0.1775
0.2559 0.5119 0.8225
0.5000 0.0000 0.5000
```

A relaxed structure of In2AgPbBr5, computed with PBE-GGA.

Results
The theoretical density is 5.1 g cm⁻³. For the total magnetic moment, the calculation gives 0.00 μB per cell. Its raw formation energy is -6.06 eV/f.u. The space group is No. 36. Its volume is 34.46 A^3/atom. Its final energy is -2.9397 eV/atom. As for the crystal system: orthorhombic.

The structure in POSCAR format:
```
In2AgPbBr5
1.0
-1.0759 0.8390 4.2503
-7.8491 -5.0416 -3.3358
6.2245 -12.3456 4.0127
Ag Br In Pb
2 10 4 2
direct
0.4513 0.9026 0.4339
0.5487 0.0974 0.9339
0.9533 0.9066 0.5410
0.6947 0.3893 0.8840
0.3636 0.7271 0.0015
0.5090 0.0180 0.2672
0.0467 0.0934 0.0410
0.4910 0.9820 0.7672
0.3053 0.6107 0.3840
0.7174 0.4349 0.1754
0.2826 0.5651 0.6754
0.6364 0.2729 0.5015
0.1300 0.2600 0.3221
0.9092 0.8184 0.1692
0.8700 0.7400 0.8221
0.0908 0.1816 0.6692
0.2100 0.4199 0.0297
0.7900 0.5801 0.5297
```

A relaxed structure of In2AgPdBr, computed with PBE-GGA.

Results
The theoretical density is 5.1 g cm⁻³. For the total magnetic moment, the calculation gives 0.00 μB per cell. Its raw formation energy is 2.21 eV/f.u. The space group is No. 123. Its volume is 34.12 A^3/atom. Its final energy is -2.5966 eV/atom. As for the crystal system: tetragonal.

The structure in POSCAR format:
```
In2AgPdBr
1.0
5.9944 0.0000 0.0000
0.0000 4.7475 0.0000
0.0000 0.0000 5.9944
In Pd Br Ag
2 1 1 1
direct
0.5000 0.0000 0.0000
0.0000 0.0000 0.5000
0.0000 0.5000 0.0000
0.0000 0.0000 0.0000
0.5000 0.5000 0.5000
```

A relaxed structure of PrIn2AgBr6, computed with PBE-GGA.

Results
The theoretical density is 4.6 g cm⁻³. For the total magnetic moment, the calculation gives 0.00 μB per cell. Its raw formation energy is -10.69 eV/f.u. The space group is No. 14. Its volume is 34.44 A^3/atom. Its final energy is -3.3830 eV/atom. As for the crystal system: monoclinic.

The structure in POSCAR format:
```
PrIn2AgBr6
1.0
7.6642 0.0000 0.0845
0.0000 8.1645 0.0000
0.1887 0.0000 11.0104
Ag Br In Pr
2 12 4 2
direct
0.0000 0.5000 0.5000
0.5000 0.0000 0.0000
0.6867 0.3091 0.9489
0.1876 0.1986 0.0579
0.6876 0.3014 0.5579
0.3124 0.6986 0.4421
0.1182 0.4705 0.7456
0.8133 0.8091 0.5511
0.3133 0.6909 0.0511
0.6182 0.0295 0.2456
0.8818 0.5295 0.2544
0.3818 0.9705 0.7544
0.1867 0.1909 0.4489
0.8124 0.8014 0.9421
0.0285 0.9133 0.2618
0.5285 0.5867 0.7618
0.9715 0.0867 0.7382
0.4715 0.4133 0.2382
0.0000 0.5000 0.0000
0.5000 0.0000 0.5000
```

A relaxed structure of InAgPt2Br, computed with PBE-GGA.

Results
The theoretical density is 8.3 g cm⁻³. For the total magnetic moment, the calculation gives 0.00 μB per cell. Its raw formation energy is 4.08 eV/f.u. The space group is No. 123. Its volume is 27.80 A^3/atom. Its final energy is -3.0520 eV/atom. As for the crystal system: tetragonal.

The structure in POSCAR format:
```
InAgPt2Br
1.0
-3.7918 2.4516 -2.1985
-0.0602 -3.7303 -4.0559
-3.2926 -2.7667 2.5934
Ag In Pt Br
1 1 2 1
direct
0.5000 0.5000 0.5000
0.0000 0.0000 0.0000
0.0000 0.0000 0.5000
0.5000 0.0000 0.0000
0.0000 0.5000 0.0000
```